No. 1
Compound: Dy5Sc3H12
Source: Alexandria
Functional: GGA-PBE
Structure: optimized geometry

```
80
Lattice="-3.3926 -7.8200 -6.9925 10.8718 -0.9416 1.5729 -5.2229 -1.1714 9.6388" Properties=species:S:1:pos:R:3 pbc="T T T"
Sc 0.8796 -6.3645 -3.4497
Sc 4.5325 -7.6951 -3.7339
Sc 3.6173 -4.3708 4.5817
Sc -1.4478 -2.5120 2.0630
Sc -2.9153 -7.2531 -3.5121
Sc 4.2169 -3.8139 0.7706
Sc -1.9606 -6.1192 3.4486
Sc 5.1716 -2.6800 7.7313
Sc 3.7041 -7.4210 2.1561
Sc -1.3610 -5.5622 -0.3626
Sc -2.2762 -2.2379 7.9531
Sc 1.3767 -3.5685 7.6689
Dy 2.3471 -1.6235 2.1255
Dy 5.4359 -0.4708 0.7864
Dy 0.0000 0.0000 0.0000
Dy 0.7929 -3.3143 -1.0241
Dy -4.3078 -4.4957 1.3231
Dy 3.7396 -4.3808 -2.7098
Dy 5.7712 -2.1230 3.9201
Dy -5.7555 -7.0077 3.3862
Dy 2.2918 -6.8928 -0.6468
Dy -3.8304 -3.9288 4.8035
Dy 6.0867 -6.0043 -0.5844
Dy 1.1281 -4.9665 2.1096
Dy -1.6963 -3.9100 -3.4963
Dy -2.6115 -0.5857 4.8194
Dy -0.0355 -3.0402 4.8659
Dy 8.0118 -2.9253 0.8330
Dy 2.8245 -1.0565 5.6058
Dy -3.5149 -7.8100 0.2990
Dy 1.4634 -6.6187 5.2433
Dy -0.0908 -8.3096 2.0937
H -1.0067 -5.8925 -4.1400
H 2.9059 -3.7028 2.3600
H -0.9738 -7.9257 -3.3236
H -0.3659 -4.8476 -2.0228
H 2.5508 -5.8079 3.5547
H 2.5264 -8.0315 -4.0801
H 4.9626 -3.9463 3.0759
H 9.0493 -1.8459 2.3981
H 4.6811 -6.3190 3.6012
H 2.7962 -6.3631 -2.6855
H 0.3148 -6.8716 -1.5310
H 6.5874 -7.5360 -3.8313
H 4.3337 -2.6437 5.4543
H 2.9400 -3.0590 -1.1498
H 7.8695 -1.6904 4.2380
H -2.8199 -4.3170 2.9276
H 0.3256 -0.8571 1.9949
H 5.1475 -4.1083 -1.0474
H 5.9359 -7.8182 -1.7582
H 3.7382 -1.8282 0.4780
H 4.9407 -4.4002 6.6154
H 2.9001 -5.8194 1.1334
H 3.1563 -8.5170 0.4959
H -3.8088 -7.5024 4.1964
H -0.6438 -4.1136 3.0857
H -0.9000 -1.4160 3.7232
H 6.0651 -2.4306 0.0227
H -3.6796 -2.1148 5.9774
H -2.6844 -5.5329 -2.3963
H -1.4819 -8.1048 3.7412
H -2.8912 -5.8247 5.2665
H 5.0761 -5.6160 1.2916
H 1.9307 -9.0760 2.2243
H -5.6132 -8.2427 -0.0189
H -2.0774 -7.2893 -1.2351
H -4.3311 -2.3970 8.0505
H -0.6837 -6.8740 5.3690
H -2.4248 -3.6141 0.6179
H -0.5399 -3.5699 6.9046
H 1.9415 -3.0614 5.7502
H -6.7931 -8.0872 1.8211
H -2.7063 -5.9867 1.1433
H 2.6222 -5.0854 6.2420
H -0.2701 -1.9015 8.2993
H -0.2945 -4.1251 0.6645
H 3.2301 -2.0073 7.5427
H -0.6496 -6.2302 1.8591
H 3.2630 -4.0406 8.3591
```

* magnetization: 0.000 μB/f.u.
* energy: -0.3337 Ry per atom

***

No. 2
Compound: KLiHf2Ti
Source: Alexandria
Functional: GGA-PBE
Structure: optimized geometry

```
5
Lattice="5.0635 0.0000 0.0000 0.0000 4.5103 0.0000 0.0000 0.0000 5.0635" Properties=species:S:1:pos:R:3 pbc="T T T"
K 0.0000 0.0000 0.0000
Li 2.5317 2.2552 2.5317
Hf 0.0000 0.0000 2.5317
Hf 2.5317 0.0000 0.0000
Ti 0.0000 2.2552 0.0000
```

* energy of formation from the pure elements: 2085.2 meV per atom
* magnetization: 1.187 μB/f.u.

***

No. 3
Compound: CuHg2S
Source: Alexandria
Functional: GGA-PBE
Structure: optimized geometry

```
8
Lattice="-0.8606 3.1249 -6.1997 -1.8653 -6.1215 -2.8266 -4.9573 -0.7967 -3.6606" Properties=species:S:1:pos:R:3 pbc="T T T"
S -1.3630 -1.4983 -4.5131
S -4.0928 -4.2083 -5.5001
Hg -2.0139 1.0014 -5.1684
Hg -2.5092 -3.6472 -3.4316
Hg -4.7326 -1.6964 -6.1188
Hg -6.1108 -3.2444 -10.6549
Cu 0.0000 0.0000 0.0000
Cu -3.5905 0.4149 -7.1867
```

* magnetization: 0.000 μB/f.u.
* energy relative to the elements, uncorrected: 0.3198 eV/atom

***

No. 4
Compound: LuAgPdPb
Source: Alexandria
Functional: GGA-PBE
Structure: optimized geometry

```
4
Lattice="4.9069 0.0000 0.0000 2.4535 4.2495 0.0000 2.4535 1.4165 4.0065" Properties=species:S:1:pos:R:3 pbc="T T T"
Pb 4.9069 2.8330 2.0032
Lu 0.0000 0.0000 0.0000
Pd 2.4535 1.4165 1.0016
Ag 7.3604 4.2495 3.0049
```

* energy of formation from the pure elements: -443.8 meV per atom
* magnetization: 0.000 μB/f.u.

***

No. 5
Compound: MnHg2Te
Source: Alexandria
Functional: GGA-PBE
Structure: optimized geometry

```
4
Lattice="3.8295 0.0000 0.0000 0.0000 4.0009 0.0138 0.0000 1.9553 6.8869" Properties=species:S:1:pos:R:3 pbc="T T T"
Hg 0.0000 0.2430 0.1072
Hg 1.9147 2.2394 1.6549
Mn 0.0000 2.2273 4.0527
Te 1.9147 4.2247 4.5363
```

* magnetization: 4.528 μB/f.u.
* energy relative to the elements, uncorrected: 0.0854 eV/atom

***

No. 6
Compound: Ca2ThCu9
Source: Alexandria
Functional: GGA-PBE
Structure: optimized geometry

```
12
Lattice="-1.4092 4.0345 -3.0085 -0.2319 -0.5663 -5.1903 -8.5615 -1.1857 -2.1194" Properties=species:S:1:pos:R:3 pbc="T T T"
Ca -5.0904 2.4603 -7.9348
Ca -5.1121 -0.1778 -2.3835
Th 0.0000 0.0000 0.0000
Cu -9.6142 1.1385 -7.5885
Cu -0.5884 1.1440 -2.7298
Cu -5.1013 1.1412 -5.1591
Cu -2.7672 1.1744 -3.9697
Cu -3.4620 3.1636 -5.4530
Cu -2.8816 0.8952 -6.5287
Cu -7.4353 1.1080 -6.3485
Cu -7.3210 1.3872 -3.7895
Cu -6.7405 -0.8811 -4.8652
```

* energy of formation from the pure elements: -123.9 meV per atom
* magnetization: 0.000 μB/f.u.